Compound: Ca2TeRu
Source: Alexandria
Functional: PBE-GGA
Structure: relaxed

Properties
Its uncorrected formation energy is -208 meV per atom. The density of states at the Fermi level comes out at 0.251 states/eV per atom. As for the crystal system: tetragonal.

a b c (Å): 10.381 10.381 5.078
angles (deg): 90.00 90.00 90.00
Space group I-42d (No. 122)
Unique sites:
1 Ca 0.075 0.250 0.125 x8
2 Te 0.000 0.000 0.500 x4
3 Ru 0.000 0.000 0.000 x4